This record from Alexandria describes crystalline Cr2CoRu at its relaxed geometry. The functional is GGA-PBEsol.

## Properties
**Formation energy**: 0.29 eV per formula unit
**Density of states at the Fermi level**: 9.32 states/eV/cell
**Total DFT energy (no corrections)**: -76.21 eV for the cell shown
**Spin magnetization**: 0.00 Bohr magnetons per cell

a = 3.5859 Å, b = 3.5859 Å, c = 7.1138 Å
α = 90.00°, β = 90.00°, γ = 90.00°
With the nearest neighbours (Å) after each atom.
Fractional coordinates of all 8 atoms:
Cr: 0.0000 0.5000 0.2500  4 Co 2.53, 4 Ru 2.53, 4 Cr 2.54
Cr: 0.0000 0.5000 0.7500  4 Ru 2.53, 4 Co 2.53, 4 Cr 2.54
Cr: 0.5000 0.0000 0.2500  4 Co 2.53, 4 Ru 2.53, 4 Cr 2.54
Cr: 0.5000 0.0000 0.7500  4 Ru 2.53, 4 Co 2.53, 4 Cr 2.54
Co: 0.0000 0.0000 0.0000  8 Cr 2.53, 4 Ru 2.54
Co: 0.5000 0.5000 0.5000  8 Cr 2.53, 4 Ru 2.54
Ru: 0.0000 0.0000 0.5000  8 Cr 2.53, 4 Co 2.54
Ru: 0.5000 0.5000 0.0000  8 Cr 2.53, 4 Co 2.54

This record from Alexandria describes crystalline NaInP2Cl at its relaxed geometry. The functional is GGA-PBEsol.

## Properties
**Density of states at the Fermi level**: 2.61 states/eV/cell
**Total DFT energy (no corrections)**: -16.77 eV for the cell shown
**Formation energy (no corrections)**: 1.201 eV per formula unit
**Spin magnetization**: 1.17 Bohr magnetons per cell

a = 4.9809 Å, b = 4.9809 Å, c = 5.5065 Å
α = 90.00°, β = 90.00°, γ = 90.00°
With the nearest neighbours (Å) after each atom.
Fractional coordinates of all 5 atoms:
Na: 0.0000 0.0000 0.0000  4 Cl 3.52, 8 P 3.71
In: 0.5000 0.5000 0.5000  4 P 2.49, 2 Cl 2.75
P: 0.0000 0.5000 0.5000  2 In 2.49
P: 0.5000 0.0000 0.5000  2 In 2.49
Cl: 0.5000 0.5000 0.0000  2 In 2.75

This record from Alexandria describes crystalline Tl3SI at its relaxed geometry. The functional is GGA-PBEsol.

## Properties
**Density of states at the Fermi level**: 2.75 states/eV/cell
**Total DFT energy (no corrections)**: -11.87 eV for the cell shown
**Formation energy (no corrections)**: 2.173 eV per formula unit
**Spin magnetization**: 0.05 Bohr magnetons per cell

a = 6.1839 Å, b = 6.1839 Å, c = 6.1839 Å
α = 90.00°, β = 90.00°, γ = 90.00°
With the nearest neighbours (Å) after each atom.
Fractional coordinates of all 5 atoms:
Tl: 0.0000 0.0000 0.5000  2 I 3.09
Tl: 0.0000 0.5000 0.0000  2 I 3.09
Tl: 0.5000 0.0000 0.0000  2 I 3.09
S: 0.5000 0.5000 0.5000  12 Tl 4.37
I: 0.0000 0.0000 0.0000  6 Tl 3.09

This record from Alexandria describes crystalline HfBIN2 at its relaxed geometry. The functional is GGA-PBEsol.

## Properties
**Density of states at the Fermi level**: 2.50 states/eV/cell
**Total DFT energy (no corrections)**: -31.16 eV for the cell shown
**Formation energy (no corrections)**: 5.179 eV per formula unit
**Spin magnetization**: 0.00 Bohr magnetons per cell

a = 4.0444 Å, b = 4.0444 Å, c = 5.9369 Å
α = 90.00°, β = 90.00°, γ = 90.00°
With the nearest neighbours (Å) after each atom.
Fractional coordinates of all 5 atoms:
Hf: 0.0000 0.0000 0.0000  4 N 2.02
B: 0.5000 0.5000 0.5000  4 I 2.86
I: 0.0000 0.0000 0.5000  4 B 2.86, 2 Hf 2.97
N: 0.0000 0.5000 0.0000  2 Hf 2.02
N: 0.5000 0.0000 0.0000  2 Hf 2.02

This record from Alexandria describes crystalline LaRh2W at its relaxed geometry. The functional is GGA-PBEsol.

## Properties
**Formation energy**: 0.73 eV per formula unit
**Density of states at the Fermi level**: 7.31 states/eV/cell
**Total DFT energy (no corrections)**: -69.39 eV for the cell shown
**Spin magnetization**: 0.00 Bohr magnetons per cell
**ΔE to the lowest computed polymorph**: 334.8 meV per atom

a = 4.0607 Å, b = 5.0824 Å, c = 7.3004 Å
α = 90.00°, β = 90.00°, γ = 90.00°
With the nearest neighbours (Å) after each atom.
Fractional coordinates of all 8 atoms:
La: 0.0000 0.0000 0.0000  8 Rh 2.95-2.96, 4 W 3.25
La: 0.5000 0.5000 0.5000  8 Rh 2.95-2.96, 4 W 3.25
Rh: 0.0000 0.5000 0.2074  2 W 2.53
Rh: 0.0000 0.5000 0.7926  2 W 2.53
Rh: 0.5000 0.0000 0.2926  2 W 2.53
Rh: 0.5000 0.0000 0.7074  2 W 2.53
W: 0.0000 0.0000 0.5000  4 Rh 2.53
W: 0.5000 0.5000 0.0000  4 Rh 2.53

This record from Alexandria describes crystalline Al2CdGaPd at its relaxed geometry. The functional is GGA-PBEsol.

## Properties
**Formation energy**: 0.01 eV per formula unit
**Density of states at the Fermi level**: 1.27 states/eV/cell
**Total DFT energy (no corrections)**: -18.66 eV for the cell shown
**Spin magnetization**: 0.00 Bohr magnetons per cell

a = 4.7482 Å, b = 4.7482 Å, c = 4.7580 Å
α = 90.00°, β = 90.00°, γ = 90.00°
With the nearest neighbours (Å) after each atom.
Fractional coordinates of all 5 atoms:
Al: 0.0000 0.5000 0.0000  2 Pd 2.37
Al: 0.5000 0.0000 0.0000  2 Pd 2.37
Cd: 0.0000 0.0000 0.5000  4 Ga 3.36, 8 Al 3.36
Ga: 0.5000 0.5000 0.5000  2 Pd 2.38
Pd: 0.5000 0.5000 0.0000  4 Al 2.37, 2 Ga 2.38

This record from Alexandria describes crystalline Si2SbAsAu at its relaxed geometry. The functional is GGA-PBEsol.

## Properties
**Density of states at the Fermi level**: 3.31 states/eV/cell
**Total DFT energy (no corrections)**: -21.40 eV for the cell shown
**Formation energy (no corrections)**: 3.685 eV per formula unit
**Spin magnetization**: 0.00 Bohr magnetons per cell

a = 4.6787 Å, b = 4.6787 Å, c = 5.2853 Å
α = 90.00°, β = 90.00°, γ = 90.00°
With the nearest neighbours (Å) after each atom.
Fractional coordinates of all 5 atoms:
Si: 0.0000 0.5000 0.0000  2 Au 2.34
Si: 0.5000 0.0000 0.0000  2 Au 2.34
Sb: 0.0000 0.0000 0.5000  4 As 3.31, 8 Si 3.53
As: 0.5000 0.5000 0.5000  2 Au 2.64
Au: 0.5000 0.5000 0.0000  4 Si 2.34

This record from Alexandria describes crystalline Mg2FePb at its relaxed geometry. The functional is GGA-PBEsol.

## Properties
**Formation energy**: 0.94 eV per formula unit
**Density of states at the Fermi level**: 3.23 states/eV/cell
**Total DFT energy (no corrections)**: -15.46 eV for the cell shown
**Spin magnetization**: 2.36 Bohr magnetons per cell

a = 3.1464 Å, b = 3.1464 Å, c = 8.0721 Å
α = 90.00°, β = 90.00°, γ = 90.00°
With the nearest neighbours (Å) after each atom.
Fractional coordinates of all 4 atoms:
Mg: 0.0000 0.0000 0.1993  4 Fe 2.75
Mg: 0.0000 0.0000 0.8007  4 Fe 2.75
Fe: 0.5000 0.5000 0.0000  8 Mg 2.75
Pb: 0.5000 0.5000 0.5000  4 Pb 3.15, 8 Mg 3.29

This record from Alexandria describes crystalline SiRh2 at its relaxed geometry. The functional is GGA-PBEsol.

## Properties
**Density of states at the Fermi level**: 8.47 states/eV/cell
**Total DFT energy (no corrections)**: -97.39 eV for the cell shown
**Formation energy (no corrections)**: -2.323 eV per formula unit
**Spin magnetization**: 0.00 Bohr magnetons per cell

a = 5.3511 Å, b = 3.9203 Å, c = 7.3944 Å
α = 90.00°, β = 90.00°, γ = 90.00°
With the nearest neighbours (Å) after each atom.
Fractional coordinates of all 12 atoms:
Si: 0.2167 0.2500 0.1049  7 Rh 2.40-2.48
Si: 0.2833 0.7500 0.6049  7 Rh 2.40-2.48
Si: 0.7167 0.2500 0.3951  7 Rh 2.40-2.48
Si: 0.7833 0.7500 0.8951  7 Rh 2.40-2.48
Rh: 0.0266 0.2500 0.7989  3 Si 2.46-2.48, 2 Rh 2.75
Rh: 0.1623 0.2500 0.4303  4 Si 2.40-2.43
Rh: 0.3377 0.7500 0.9303  4 Si 2.40-2.43
Rh: 0.4734 0.7500 0.2989  3 Si 2.46-2.48, 2 Rh 2.75
Rh: 0.5266 0.2500 0.7011  3 Si 2.46-2.48, 2 Rh 2.75
Rh: 0.6623 0.2500 0.0697  4 Si 2.40-2.43
Rh: 0.8377 0.7500 0.5697  4 Si 2.40-2.43
Rh: 0.9734 0.7500 0.2011  3 Si 2.46-2.48, 2 Rh 2.75

This record from Alexandria describes crystalline InAu3Cl at its relaxed geometry. The functional is GGA-PBEsol.

## Properties
**Density of states at the Fermi level**: 5.45 states/eV/cell
**Total DFT energy (no corrections)**: -12.96 eV for the cell shown
**Formation energy (no corrections)**: 3.808 eV per formula unit
**Spin magnetization**: 0.00 Bohr magnetons per cell

a = 5.1091 Å, b = 5.1091 Å, c = 5.1091 Å
α = 90.00°, β = 90.00°, γ = 90.00°
With the nearest neighbours (Å) after each atom.
Fractional coordinates of all 5 atoms:
In: 0.0000 0.0000 0.0000  6 Au 2.55
Au: 0.0000 0.0000 0.5000  2 In 2.55
Au: 0.0000 0.5000 0.0000  2 In 2.55
Au: 0.5000 0.0000 0.0000  2 In 2.55
Cl: 0.5000 0.5000 0.5000  12 Au 3.61

This record from Alexandria describes crystalline La3ZnPb at its relaxed geometry. The functional is GGA-PBEsol.

## Properties
**Formation energy**: -0.16 eV per formula unit
**Density of states at the Fermi level**: 7.16 states/eV/cell
**Total DFT energy (no corrections)**: -21.78 eV for the cell shown
**Spin magnetization**: 0.00 Bohr magnetons per cell

a = 5.5542 Å, b = 5.5542 Å, c = 5.5542 Å
α = 90.00°, β = 90.00°, γ = 90.00°
With the nearest neighbours (Å) after each atom.
Fractional coordinates of all 5 atoms:
La: 0.0000 0.0000 0.5000  2 Zn 2.78
La: 0.0000 0.5000 0.0000  2 Zn 2.78
La: 0.5000 0.0000 0.0000  2 Zn 2.78
Zn: 0.0000 0.0000 0.0000  6 La 2.78
Pb: 0.5000 0.5000 0.5000  12 La 3.93

This record from Alexandria describes crystalline Pb3Cl2O2 at its relaxed geometry. The functional is GGA-PBEsol.

## Properties
**Density of states at the Fermi level**: 0.00 states/eV/cell
**Total DFT energy (no corrections)**: -138.67 eV for the cell shown
**Formation energy (no corrections)**: -8.158 eV per formula unit
**Spin magnetization**: 0.00 Bohr magnetons per cell

a = 11.7728 Å, b = 5.8158 Å, c = 9.5213 Å
α = 90.00°, β = 90.00°, γ = 90.00°
With the nearest neighbours (Å) after each atom.
Fractional coordinates of all 28 atoms:
Pb: 0.0597 0.2500 0.2015  2 O 2.27
Pb: 0.0825 0.2500 0.5810  4 O 2.34-2.43
Pb: 0.2191 0.7500 0.3637  2 O 2.23
Pb: 0.2809 0.2500 0.8637  2 O 2.23
Pb: 0.4175 0.7500 0.0810  4 O 2.34-2.43
Pb: 0.4403 0.7500 0.7015  2 O 2.27
Pb: 0.5597 0.2500 0.2985  2 O 2.27
Pb: 0.5825 0.2500 0.9190  4 O 2.34-2.43
Pb: 0.7191 0.7500 0.1363  2 O 2.23
Pb: 0.7809 0.2500 0.6363  2 O 2.23
Pb: 0.9175 0.7500 0.4190  4 O 2.34-2.43
Pb: 0.9403 0.7500 0.7985  2 O 2.27
Cl: 0.1338 0.7500 0.0826  1 Pb 2.86
Cl: 0.1920 0.7500 0.6904  3 Pb 2.92-3.14
Cl: 0.3080 0.2500 0.1904  3 Pb 2.92-3.14
Cl: 0.3662 0.2500 0.5826  1 Pb 2.86
Cl: 0.6338 0.7500 0.4174  1 Pb 2.86
Cl: 0.6920 0.7500 0.8096  3 Pb 2.92-3.14
Cl: 0.8080 0.2500 0.3096  3 Pb 2.92-3.14
Cl: 0.8662 0.2500 0.9174  1 Pb 2.86
O: 0.0790 0.0050 0.3858  4 Pb 2.23-2.43
O: 0.0790 0.4950 0.3858  4 Pb 2.23-2.43
O: 0.4210 0.5050 0.8858  4 Pb 2.23-2.43
O: 0.4210 0.9950 0.8858  4 Pb 2.23-2.43
O: 0.5790 0.0050 0.1142  4 Pb 2.23-2.43
O: 0.5790 0.4950 0.1142  4 Pb 2.23-2.43
O: 0.9210 0.5050 0.6142  4 Pb 2.23-2.43
O: 0.9210 0.9950 0.6142  4 Pb 2.23-2.43